Here is a geometry-optimized ReRu2Se structure from Alexandria via LeMat-Bulk. Energies are from PBE.

Cell: 2.8784 3.7265 5.5866 Å, 90.00 90.00 90.00°
Space group Pmmm (No. 47)
Unique sites:
Re1 0.0000 0.0000 0.0000
Ru1 0.5000 0.5000 0.2367
Se1 0.0000 0.0000 0.5000

Results
Formation energy without anion corrections (eV/atom): 0.3376
Total DFT energy (no corrections) (eV/atom): -8.284
Excess energy over the best structure of this formula in the dataset (meV/atom): 159
Total magnetization (μB/cell): 0.0
ρ (g cm⁻³): 12.95